(1)
# ZrHg2Ru

A geometry-optimized ZrHg2Ru structure (PBEsol, Alexandria).

```
data_ZrHg2Ru
_space_group_name_H-M_alt 'P 1'
_space_group_IT_number 1
_cell_length_a 2.999
_cell_length_b 2.999
_cell_length_c 9.692
_cell_angle_alpha 81.10
_cell_angle_beta 81.10
_cell_angle_gamma 60.00
loop_
_space_group_symop_operation_xyz
'x,y,z'
loop_
_atom_site_label
_atom_site_type_symbol
_atom_site_fract_x
_atom_site_fract_y
_atom_site_fract_z
_atom_site_occupancy
Hg1 Hg 0.245 0.245 0.265 1
Hg2 Hg 0.755 0.755 0.735 1
Ru1 Ru 0.500 0.500 0.500 1
Zr1 Zr 0.000 0.000 0.000 1
```

## Properties
E = -19.41 eV/cell
Crystal system = trigonal
ΔE_f = 0.985 eV/f.u.

---

(2)
# HgS

A geometry-optimized HgS structure (PBEsol, Alexandria).

```
data_HgS
_space_group_name_H-M_alt 'P 1'
_space_group_IT_number 1
_cell_length_a 4.156
_cell_length_b 4.156
_cell_length_c 6.778
_cell_angle_alpha 90.00
_cell_angle_beta 90.00
_cell_angle_gamma 120.00
loop_
_space_group_symop_operation_xyz
'x,y,z'
loop_
_atom_site_label
_atom_site_type_symbol
_atom_site_fract_x
_atom_site_fract_y
_atom_site_fract_z
_atom_site_occupancy
S1 S 0.667 0.333 0.624 1
S2 S 0.333 0.667 0.124 1
Hg1 Hg 0.667 0.333 0.001 1
Hg2 Hg 0.333 0.667 0.501 1
```

## Properties
E = -10.54 eV/cell
Crystal system = hexagonal
Energy relative to the elements, uncorrected = -15.5 kJ/mol of atoms

---

(3)
# HgS

A geometry-optimized HgS structure (PBEsol, Alexandria).

```
data_HgS
_space_group_name_H-M_alt 'P 1'
_space_group_IT_number 1
_cell_length_a 4.153
_cell_length_b 4.153
_cell_length_c 4.153
_cell_angle_alpha 60.00
_cell_angle_beta 60.00
_cell_angle_gamma 60.00
loop_
_space_group_symop_operation_xyz
'x,y,z'
loop_
_atom_site_label
_atom_site_type_symbol
_atom_site_fract_x
_atom_site_fract_y
_atom_site_fract_z
_atom_site_occupancy
S1 S 0.750 0.750 0.750 1
Hg1 Hg 0.000 0.000 0.000 1
```

## Properties
E = -5.28 eV/cell
Crystal system = cubic
Energy relative to the elements, uncorrected = -15.7 kJ/mol of atoms

---

(4)
# HgS

A geometry-optimized HgS structure (PBEsol, Alexandria).

```
data_HgS
_space_group_name_H-M_alt 'P 1'
_space_group_IT_number 1
_cell_length_a 4.102
_cell_length_b 4.102
_cell_length_c 9.392
_cell_angle_alpha 90.00
_cell_angle_beta 90.00
_cell_angle_gamma 120.00
loop_
_space_group_symop_operation_xyz
'x,y,z'
loop_
_atom_site_label
_atom_site_type_symbol
_atom_site_fract_x
_atom_site_fract_y
_atom_site_fract_z
_atom_site_occupancy
S1 S 0.489 0.000 0.500 1
S2 S 0.000 0.489 0.833 1
S3 S 0.511 0.511 0.167 1
Hg1 Hg 0.304 0.000 0.000 1
Hg2 Hg 0.000 0.304 0.333 1
Hg3 Hg 0.696 0.696 0.667 1
```

## Properties
E = -15.75 eV/cell
Crystal system = trigonal
Energy relative to the elements, uncorrected = -14.5 kJ/mol of atoms